Record 1
Here is an optimized crystal structure of Tc2IrRh from Alexandria via LeMat-Bulk. Energies are from PBEsol.

Computed properties:
Magnetic moment: 0.00 Bohr magnetons per cell
Total energy: -41.0 eV per cell
Fermi-level density of states: 3.85 states/eV/f.u.
Symmetry: Cm, No. 8
Energy of formation from the pure elements: -0.118 eV/atom
Volume: 13.810 Å³ per atom

a = 2.6697 Å, b = 4.6599 Å, c = 4.6999 Å
α = 99.15°, β = 90.00°, γ = 106.65°
Closest atoms and distances in Å follow each position.
Positions (direct):
Ir1 0.4973 0.9947 0.4908  7 Tc 2.65-2.72, 2 Ir 2.67, 3 Rh 2.71-2.75
Rh1 0.2514 0.5028 0.7582  7 Tc 2.66-2.71, 2 Rh 2.67, 3 Ir 2.71-2.75
Tc1 0.0003 0.0005 0.9952  3 Rh 2.66-2.67, 5 Tc 2.67-2.72, 4 Ir 2.69-2.72
Tc2 0.7510 0.5020 0.2559  3 Ir 2.65-2.68, 5 Tc 2.67-2.72, 4 Rh 2.69-2.71

---

Record 2
Here is an optimized crystal structure of TcIrRh from Alexandria via LeMat-Bulk. Energies are from PBEsol.

Computed properties:
Magnetic moment: 0.00 Bohr magnetons per cell
Total energy: -29.6 eV per cell
Fermi-level density of states: 2.89 states/eV/f.u.
Symmetry: P3m1, No. 156
Energy of formation from the pure elements: -0.115 eV/atom
Volume: 13.788 Å³ per atom

a = 2.6898 Å, b = 2.6898 Å, c = 6.6017 Å
α = 90.00°, β = 90.00°, γ = 120.00°
Closest atoms and distances in Å follow each position.
Positions (direct):
Ir1 0.0000 0.0000 0.0067  3 Tc 2.66, 6 Ir 2.69, 3 Rh 2.76
Rh1 0.3333 0.6667 0.6603  3 Tc 2.66, 6 Rh 2.69, 3 Ir 2.76
Tc1 0.6667 0.3333 0.3330  3 Ir 2.66, 3 Rh 2.66, 6 Tc 2.69

---

Record 3
Here is an optimized crystal structure of TcIrRh from Alexandria via LeMat-Bulk. Energies are from PBEsol.

Computed properties:
Magnetic moment: 0.00 Bohr magnetons per cell
Total energy: -29.7 eV per cell
Fermi-level density of states: 3.25 states/eV/f.u.
Symmetry: Imm2, No. 44
Energy of formation from the pure elements: -0.155 eV/atom
Volume: 13.755 Å³ per atom

a = 2.6803 Å, b = 3.8087 Å, c = 4.6648 Å
α = 114.09°, β = 106.70°, γ = 90.00°
Closest atoms and distances in Å follow each position.
Positions (direct):
Ir1 0.9969 0.9969 0.9938  5 Rh 2.66-2.71, 5 Tc 2.67-2.74, 2 Ir 2.68
Rh1 0.6678 0.6678 0.3356  5 Ir 2.66-2.71, 2 Rh 2.68, 5 Tc 2.69
Tc1 0.3353 0.3353 0.6706  5 Ir 2.67-2.74, 2 Tc 2.68, 5 Rh 2.69

---

Record 4
Here is an optimized crystal structure of TcIrRh from Alexandria via LeMat-Bulk. Energies are from PBEsol.

Computed properties:
Magnetic moment: 0.00 Bohr magnetons per cell
Total energy: -29.7 eV per cell
Fermi-level density of states: 2.70 states/eV/f.u.
Symmetry: I4mm, No. 107
Energy of formation from the pure elements: -0.154 eV/atom
Volume: 13.786 Å³ per atom

a = 2.6919 Å, b = 2.6919 Å, c = 6.0165 Å
α = 102.93°, β = 102.93°, γ = 90.00°
Closest atoms and distances in Å follow each position.
Positions (direct):
Ir1 0.0044 0.0044 0.0088  4 Tc 2.65, 4 Ir 2.69, 4 Rh 2.76
Rh1 0.3295 0.3295 0.6590  4 Tc 2.67, 4 Rh 2.69, 4 Ir 2.76
Tc1 0.6661 0.6661 0.3322  4 Ir 2.65, 4 Rh 2.67, 4 Tc 2.69

---

Record 5
Here is an optimized crystal structure of Ti2IrRh from Alexandria via LeMat-Bulk. Energies are from PBEsol.

Computed properties:
Magnetic moment: 0.00 Bohr magnetons per cell
Total energy: -37.7 eV per cell
Fermi-level density of states: 5.00 states/eV/f.u.
Symmetry: Fm-3m, No. 225
Energy of formation from the pure elements: -0.767 eV/atom
Volume: 14.523 Å³ per atom

a = 4.3472 Å, b = 4.3472 Å, c = 4.3472 Å
α = 60.00°, β = 60.00°, γ = 60.00°
Closest atoms and distances in Å follow each position.
Positions (direct):
Ir1 0.5000 0.5000 0.5000  8 Ti 2.66
Rh1 0.0000 0.0000 0.0000  8 Ti 2.66
Ti1 0.2500 0.2500 0.2500  4 Rh 2.66, 4 Ir 2.66
Ti2 0.7500 0.7500 0.7500  4 Ir 2.66, 4 Rh 2.66

---

Record 6
Here is an optimized crystal structure of TlIr2Rh from Alexandria via LeMat-Bulk. Energies are from PBEsol.

Computed properties:
Magnetic moment: 0.00 Bohr magnetons per cell
Total energy: -28.7 eV per cell
Fermi-level density of states: 4.77 states/eV/f.u.
Symmetry: Immm, No. 71
Energy of formation from the pure elements: 0.422 eV/atom
Volume: 15.782 Å³ per atom

a = 2.7789 Å, b = 4.6879 Å, c = 5.5594 Å
α = 114.94°, β = 104.47°, γ = 90.00°
Closest atoms and distances in Å follow each position.
Positions (direct):
Ir1 0.7661 0.7661 0.5323  2 Rh 2.66, 6 Ir 2.74-2.78, 2 Tl 2.93
Ir2 0.2339 0.2339 0.4677  2 Rh 2.66, 6 Ir 2.74-2.78, 2 Tl 2.93
Rh1 0.5000 0.0000 0.0000  4 Ir 2.66, 4 Tl 2.72, 2 Rh 2.78
Tl1 0.0000 0.5000 0.0000  4 Rh 2.72, 2 Tl 2.78, 4 Ir 2.93

---

Record 7
Here is an optimized crystal structure of TlIrRh from Alexandria via LeMat-Bulk. Energies are from PBEsol.

Computed properties:
Magnetic moment: 0.00 Bohr magnetons per cell
Total energy: -19.2 eV per cell
Fermi-level density of states: 4.74 states/eV/f.u.
Symmetry: Imm2, No. 44
Energy of formation from the pure elements: 0.454 eV/atom
Volume: 16.167 Å³ per atom

a = 2.8683 Å, b = 3.9019 Å, c = 4.9643 Å
α = 113.14°, β = 106.79°, γ = 90.00°
Closest atoms and distances in Å follow each position.
Positions (direct):
Ir1 0.0098 0.0098 0.0196  5 Rh 2.74-3.06, 5 Tl 2.80-2.87, 2 Ir 2.87
Rh1 0.6572 0.6572 0.3144  5 Ir 2.74-3.06, 5 Tl 2.81-2.86, 2 Rh 2.87
Tl1 0.3330 0.3330 0.6660  5 Ir 2.80-2.87, 5 Rh 2.81-2.86, 2 Tl 2.87

---

Record 8
Here is an optimized crystal structure of TlIr2Rh from Alexandria via LeMat-Bulk. Energies are from PBEsol.

Computed properties:
Magnetic moment: 0.00 Bohr magnetons per cell
Total energy: -29.1 eV per cell
Fermi-level density of states: 4.14 states/eV/f.u.
Symmetry: Pmm2, No. 25
Energy of formation from the pure elements: 0.318 eV/atom
Volume: 15.697 Å³ per atom

a = 2.8203 Å, b = 3.8029 Å, c = 5.8544 Å
α = 90.00°, β = 90.00°, γ = 90.00°
Closest atoms and distances in Å follow each position.
Positions (direct):
Ir1 0.0000 0.0000 0.0343  1 Rh 2.62, 6 Ir 2.66-2.82, 4 Tl 2.92
Ir2 0.5000 0.5000 0.2418  6 Ir 2.66-2.82, 4 Rh 2.75, 2 Tl 2.93
Rh1 0.0000 0.0000 0.4822  5 Ir 2.62-2.75, 4 Tl 2.81, 2 Rh 2.82
Tl1 0.5000 0.5000 0.7417  4 Rh 2.81, 2 Tl 2.82, 6 Ir 2.92-2.93

---

Record 9
Here is an optimized crystal structure of TlIr2Rh from Alexandria via LeMat-Bulk. Energies are from PBEsol.

Computed properties:
Magnetic moment: 0.00 Bohr magnetons per cell
Total energy: -28.3 eV per cell
Fermi-level density of states: 4.58 states/eV/f.u.
Symmetry: P4/mmm, No. 123
Energy of formation from the pure elements: 0.534 eV/atom
Volume: 15.823 Å³ per atom

a = 3.3030 Å, b = 3.3030 Å, c = 5.8012 Å
α = 90.00°, β = 90.00°, γ = 90.00°
Closest atoms and distances in Å follow each position.
Positions (direct):
Ir1 0.0000 0.0000 0.7735  1 Ir 2.63, 4 Rh 2.68, 4 Tl 2.82
Ir2 0.0000 0.0000 0.2265  1 Ir 2.63, 4 Rh 2.68, 4 Tl 2.82
Rh1 0.5000 0.5000 0.0000  8 Ir 2.68, 2 Tl 2.90
Tl1 0.5000 0.5000 0.5000  8 Ir 2.82, 2 Rh 2.90

---

Record 10
Here is an optimized crystal structure of TlIr2Rh from Alexandria via LeMat-Bulk. Energies are from PBEsol.

Computed properties:
Magnetic moment: 0.00 Bohr magnetons per cell
Total energy: -29.1 eV per cell
Fermi-level density of states: 3.59 states/eV/f.u.
Symmetry: Cm, No. 8
Energy of formation from the pure elements: 0.328 eV/atom
Volume: 15.652 Å³ per atom

a = 2.8465 Å, b = 4.7394 Å, c = 4.9440 Å
α = 99.76°, β = 90.00°, γ = 107.48°
Closest atoms and distances in Å follow each position.
Positions (direct):
Ir1 0.0060 0.0120 0.0371  2 Rh 2.66, 5 Ir 2.66-2.85, 3 Tl 2.86-2.89
Ir2 0.7493 0.4985 0.2377  5 Ir 2.66-2.85, 3 Rh 2.74-2.79, 4 Tl 2.85-2.86
Rh1 0.4953 0.9907 0.4867  5 Ir 2.66-2.79, 3 Tl 2.73-2.80, 2 Rh 2.85
Tl1 0.2494 0.4988 0.7384  3 Rh 2.73-2.80, 2 Tl 2.85, 7 Ir 2.85-2.89

---

Record 11
Here is an optimized crystal structure of TlIr2Rh from Alexandria via LeMat-Bulk. Energies are from PBEsol.

Computed properties:
Magnetic moment: 0.00 Bohr magnetons per cell
Total energy: -29.3 eV per cell
Fermi-level density of states: 2.75 states/eV/f.u.
Symmetry: P4mm, No. 99
Energy of formation from the pure elements: 0.288 eV/atom
Volume: 15.660 Å³ per atom

a = 2.8259 Å, b = 2.8259 Å, c = 7.8439 Å
α = 90.00°, β = 90.00°, γ = 90.00°
Closest atoms and distances in Å follow each position.
Positions (direct):
Ir1 0.0000 0.0000 0.0251  8 Ir 2.67-2.83, 4 Tl 2.97
Ir2 0.5000 0.5000 0.2505  8 Ir 2.67-2.83, 4 Rh 2.68
Rh1 0.0000 0.0000 0.4791  4 Ir 2.68, 4 Rh 2.83, 4 Tl 2.89
Tl1 0.5000 0.5000 0.7453  4 Tl 2.83, 4 Rh 2.89, 4 Ir 2.97

---

Record 12
Here is an optimized crystal structure of TlIr3Rh from Alexandria via LeMat-Bulk. Energies are from PBEsol.

Computed properties:
Magnetic moment: 4.16 Bohr magnetons per cell
Total energy: -25.4 eV per cell
Fermi-level density of states: 10.19 states/eV/f.u.
Symmetry: Pm-3m, No. 221
Energy of formation from the pure elements: 2.974 eV/atom
Volume: 22.511 Å³ per atom

a = 4.8282 Å, b = 4.8282 Å, c = 4.8282 Å
α = 90.00°, β = 90.00°, γ = 90.00°
Closest atoms and distances in Å follow each position.
Positions (direct):
Tl1 0.0000 0.0000 0.0000  6 Ir 2.41
Ir1 0.0000 0.5000 0.0000  2 Tl 2.41
Ir2 0.0000 0.0000 0.5000  2 Tl 2.41
Ir3 0.5000 0.0000 0.0000  2 Tl 2.41
Rh1 0.5000 0.5000 0.5000  12 Ir 3.41

---

Record 13
Here is an optimized crystal structure of TlIr2Rh from Alexandria via LeMat-Bulk. Energies are from PBEsol.

Computed properties:
Magnetic moment: 0.00 Bohr magnetons per cell
Total energy: -28.8 eV per cell
Fermi-level density of states: 3.56 states/eV/f.u.
Symmetry: R3m, No. 160
Energy of formation from the pure elements: 0.395 eV/atom
Volume: 15.695 Å³ per atom

a = 2.8399 Å, b = 2.8399 Å, c = 9.1366 Å
α = 81.06°, β = 81.06°, γ = 60.00°
Closest atoms and distances in Å follow each position.
Positions (direct):
Ir1 0.0057 0.0057 0.9830  9 Ir 2.67-2.84, 3 Tl 2.94
Ir2 0.7505 0.7505 0.7484  3 Rh 2.66, 9 Ir 2.67-2.84
Rh1 0.4951 0.4951 0.5147  3 Ir 2.66, 6 Rh 2.84, 3 Tl 2.86
Tl1 0.2487 0.2487 0.2540  6 Tl 2.84, 3 Rh 2.86, 3 Ir 2.94

---

Record 14
Here is an optimized crystal structure of IrRh2W from Alexandria via LeMat-Bulk. Energies are from PBEsol.

Computed properties:
Magnetic moment: 0.00 Bohr magnetons per cell
Total energy: -40.1 eV per cell
Fermi-level density of states: 4.19 states/eV/f.u.
Symmetry: R3m, No. 160
Energy of formation from the pure elements: -0.055 eV/atom
Volume: 14.188 Å³ per atom

a = 2.7192 Å, b = 2.7192 Å, c = 9.0001 Å
α = 81.34°, β = 81.34°, γ = 60.00°
Closest atoms and distances in Å follow each position.
Positions (direct):
Ir1 0.2498 0.2498 0.2515  3 W 2.71, 6 Ir 2.72, 3 Rh 2.73
Rh1 0.0003 0.0003 0.9992  9 Rh 2.72, 3 Ir 2.73
Rh2 0.7501 0.7501 0.7483  3 W 2.69-2.70, 9 Rh 2.72
W1 0.4998 0.4998 0.5009  3 Rh 2.69-2.70, 3 Ir 2.71, 6 W 2.72

---

Record 15
Here is an optimized crystal structure of Ir2RhW from Alexandria via LeMat-Bulk. Energies are from PBEsol.

Computed properties:
Magnetic moment: 0.00 Bohr magnetons per cell
Total energy: -42.7 eV per cell
Fermi-level density of states: 2.68 states/eV/f.u.
Symmetry: P4/mmm, No. 123
Energy of formation from the pure elements: -0.278 eV/atom
Volume: 14.187 Å³ per atom

a = 3.8219 Å, b = 3.8533 Å, c = 3.8533 Å
α = 90.00°, β = 90.00°, γ = 90.00°
Closest atoms and distances in Å follow each position.
Positions (direct):
Ir1 0.0000 0.0000 0.5000  4 W 2.71, 4 Rh 2.71, 4 Ir 2.72
Ir2 0.0000 0.5000 0.0000  4 W 2.71, 4 Rh 2.71, 4 Ir 2.72
Rh1 0.5000 0.5000 0.5000  8 Ir 2.71, 4 W 2.72
W1 0.5000 0.0000 0.0000  8 Ir 2.71, 4 Rh 2.72

---

Record 16
Here is an optimized crystal structure of IrRh2W from Alexandria via LeMat-Bulk. Energies are from PBEsol.

Computed properties:
Magnetic moment: 0.00 Bohr magnetons per cell
Total energy: -39.0 eV per cell
Fermi-level density of states: 4.99 states/eV/f.u.
Symmetry: Fm-3m, No. 225
Energy of formation from the pure elements: 0.228 eV/atom
Volume: 14.369 Å³ per atom

a = 4.3318 Å, b = 4.3318 Å, c = 4.3318 Å
α = 60.00°, β = 60.00°, γ = 60.00°
Closest atoms and distances in Å follow each position.
Positions (direct):
Ir1 0.0000 0.0000 0.0000  8 Rh 2.65
Rh1 0.2500 0.2500 0.2500  4 Ir 2.65, 4 W 2.65
Rh2 0.7500 0.7500 0.7500  4 Ir 2.65, 4 W 2.65
W1 0.5000 0.5000 0.5000  8 Rh 2.65

---

Record 17
Here is an optimized crystal structure of Ir2RhW from Alexandria via LeMat-Bulk. Energies are from PBEsol.

Computed properties:
Magnetic moment: 0.00 Bohr magnetons per cell
Total energy: -40.8 eV per cell
Fermi-level density of states: 4.54 states/eV/f.u.
Symmetry: Fm-3m, No. 225
Energy of formation from the pure elements: 0.195 eV/atom
Volume: 14.557 Å³ per atom

a = 4.3506 Å, b = 4.3506 Å, c = 4.3506 Å
α = 60.00°, β = 60.00°, γ = 60.00°
Closest atoms and distances in Å follow each position.
Positions (direct):
Ir1 0.2500 0.2500 0.2500  4 W 2.66, 4 Rh 2.66
Ir2 0.7500 0.7500 0.7500  4 Rh 2.66, 4 W 2.66
Rh1 0.0000 0.0000 0.0000  8 Ir 2.66
W1 0.5000 0.5000 0.5000  8 Ir 2.66

---

Record 18
Here is an optimized crystal structure of Ir2RhW from Alexandria via LeMat-Bulk. Energies are from PBEsol.

Computed properties:
Magnetic moment: 0.00 Bohr magnetons per cell
Total energy: -42.6 eV per cell
Fermi-level density of states: 3.52 states/eV/f.u.
Symmetry: I4/mmm, No. 139
Energy of formation from the pure elements: -0.259 eV/atom
Volume: 14.214 Å³ per atom

a = 3.8628 Å, b = 3.8628 Å, c = 4.6883 Å
α = 114.33°, β = 114.33°, γ = 90.00°
Closest atoms and distances in Å follow each position.
Positions (direct):
Ir1 0.7500 0.2500 0.5000  4 W 2.71, 4 Rh 2.71, 4 Ir 2.73
Ir2 0.2500 0.7500 0.5000  4 W 2.71, 4 Rh 2.71, 4 Ir 2.73
Rh1 0.5000 0.5000 0.0000  8 Ir 2.71, 4 W 2.73
W1 0.0000 0.0000 0.0000  8 Ir 2.71, 4 Rh 2.73

---

Record 19
Here is an optimized crystal structure of IrRh2W from Alexandria via LeMat-Bulk. Energies are from PBEsol.

Computed properties:
Magnetic moment: 0.00 Bohr magnetons per cell
Total energy: -39.3 eV per cell
Fermi-level density of states: 5.11 states/eV/f.u.
Symmetry: F-43m, No. 216
Energy of formation from the pure elements: 0.146 eV/atom
Volume: 14.376 Å³ per atom

a = 4.3324 Å, b = 4.3324 Å, c = 4.3324 Å
α = 60.00°, β = 60.00°, γ = 60.00°
Closest atoms and distances in Å follow each position.
Positions (direct):
Ir1 0.5000 0.5000 0.5000  4 W 2.65, 4 Rh 2.65
Rh1 0.0000 0.0000 0.0000  4 W 2.65, 4 Rh 2.65
Rh2 0.7500 0.7500 0.7500  4 Rh 2.65, 4 Ir 2.65
W1 0.2500 0.2500 0.2500  4 Ir 2.65, 4 Rh 2.65

---

Record 20
Here is an optimized crystal structure of IrRh2W from Alexandria via LeMat-Bulk. Energies are from PBEsol.

Computed properties:
Magnetic moment: 0.00 Bohr magnetons per cell
Total energy: -40.9 eV per cell
Fermi-level density of states: 3.87 states/eV/f.u.
Symmetry: I-4m2, No. 119
Energy of formation from the pure elements: -0.236 eV/atom
Volume: 14.060 Å³ per atom

a = 3.8439 Å, b = 3.8439 Å, c = 4.6772 Å
α = 114.26°, β = 114.26°, γ = 90.00°
Closest atoms and distances in Å follow each position.
Positions (direct):
Ir1 0.2500 0.7500 0.5000  4 W 2.70, 8 Rh 2.70-2.72
Rh1 0.0000 0.0000 0.0000  4 Ir 2.70, 4 Rh 2.70, 4 W 2.72
Rh2 0.7500 0.2500 0.5000  4 W 2.70, 4 Rh 2.70, 4 Ir 2.72
W1 0.5000 0.5000 0.0000  4 Ir 2.70, 8 Rh 2.70-2.72